# 1
# Lu3In

Lu3In after structural relaxation (PBEsol, Alexandria).

Unit cell a=4.661 b=4.661 c=4.661 alpha=90.00 beta=90.00 gamma=90.00
Positions (direct):
1 Lu 0.000 0.500 0.500
2 Lu 0.500 0.000 0.500
3 Lu 0.500 0.500 0.000
4 In 0.000 0.000 0.000

Summary:
The formation energy comes out at -1.14 eV/f.u. The density of states at the Fermi level comes out at 3.9 states/eV/cell. Its space group is Pm-3m, No. 221.

# 2
# TaSn3Au

TaSn3Au after structural relaxation (PBEsol, Alexandria).

Unit cell a=5.284 b=5.284 c=5.284 alpha=90.00 beta=90.00 gamma=90.00
Positions (direct):
1 Au 0.500 0.500 0.500
2 Sn 0.000 0.500 0.000
3 Sn 0.000 0.000 0.500
4 Sn 0.500 0.000 0.000
5 Ta 0.000 0.000 0.000

Summary:
The formation energy comes out at 3.44 eV/f.u. The density of states at the Fermi level comes out at 5.0 states/eV/cell. Its space group is Pm-3m, No. 221.

# 3
# TiHg3C

TiHg3C after structural relaxation (PBEsol, Alexandria).

Unit cell a=4.565 b=4.565 c=4.565 alpha=90.00 beta=90.00 gamma=90.00
Site moments in Bohr magnetons follow the coordinates.
Positions (direct):
1 C 0.000 0.000 0.000  0.02
2 Hg 0.000 0.500 0.000  -0.01
3 Hg 0.000 0.000 0.500  -0.01
4 Hg 0.500 0.000 0.000  -0.01
5 Ti 0.500 0.500 0.500  1.17

Summary:
The formation energy comes out at 5.90 eV/f.u. The density of states at the Fermi level comes out at 4.5 states/eV/cell. Its space group is Pm-3m, No. 221.

# 4
# Ta2ZnCu

Ta2ZnCu after structural relaxation (PBEsol, Alexandria).

Unit cell a=2.775 b=2.775 c=7.831 alpha=90.00 beta=90.00 gamma=90.00
Positions (direct):
1 Zn 0.000 0.000 0.527
2 Cu 0.500 0.500 0.731
3 Ta 0.000 0.000 0.974
4 Ta 0.500 0.500 0.269

Summary:
The formation energy comes out at 0.00 eV/f.u. The density of states at the Fermi level comes out at 2.5 states/eV/cell. Its space group is P4mm, No. 99.

# 5
# Te2RuRh2

Te2RuRh2 after structural relaxation (PBEsol, Alexandria).

Unit cell a=4.694 b=4.694 c=4.943 alpha=90.00 beta=90.00 gamma=90.00
Positions (direct):
1 Ru 0.000 0.000 0.000
2 Te 0.500 0.500 0.500
3 Te 0.000 0.000 0.500
4 Rh 0.000 0.500 0.000
5 Rh 0.500 0.000 0.000

Summary:
As for the total energy: -5.664 eV per atom. The density of states at the Fermi level comes out at 4.8 states/eV/cell. Its space group is P4/mmm, No. 123.

# 6
# KTh2Se6

KTh2Se6 after structural relaxation (PBEsol, Alexandria).

Unit cell a=4.189 b=5.527 c=11.449 alpha=103.97 beta=100.54 gamma=90.00
Positions (direct):
1 K 0.000 0.000 0.000
2 Se 0.227 0.227 0.454
3 Se 0.604 0.356 0.207
4 Se 0.396 0.644 0.793
5 Se 0.396 0.149 0.793
6 Se 0.604 0.851 0.207
7 Se 0.773 0.773 0.546
8 Th 0.822 0.322 0.645
9 Th 0.178 0.678 0.355

Summary:
As for the total energy: -5.962 eV per atom. The density of states at the Fermi level comes out at 1.9 states/eV/cell. Its space group is Immm, No. 71.

# 7
# BiPd3

BiPd3 after structural relaxation (PBEsol, Alexandria).

Unit cell a=4.995 b=5.746 c=9.378 alpha=90.00 beta=90.00 gamma=90.00
Positions (direct):
1 Bi 0.847 0.500 0.750
2 Bi 0.153 0.500 0.250
3 Bi 0.500 0.000 0.500
4 Bi 0.500 0.000 0.000
5 Pd 0.337 0.750 0.750
6 Pd 0.337 0.250 0.750
7 Pd 0.663 0.750 0.250
8 Pd 0.663 0.250 0.250
9 Pd 0.500 0.500 0.000
10 Pd 0.500 0.500 0.500
11 Pd 0.148 0.000 0.250
12 Pd 0.852 0.000 0.750
13 Pd 0.000 0.251 0.000
14 Pd 0.000 0.749 0.500
15 Pd 0.000 0.749 0.000
16 Pd 0.000 0.251 0.500

Summary:
The formation energy comes out at -1.05 eV/f.u. The density of states at the Fermi level comes out at 7.4 states/eV/cell. Its space group is Pmma, No. 51.

# 8
# NiHgP2

NiHgP2 after structural relaxation (PBEsol, Alexandria).

Unit cell a=3.145 b=4.899 c=4.899 alpha=63.81 beta=71.28 gamma=71.28
Positions (direct):
1 Hg 0.507 0.493 0.493
2 Ni 0.292 0.208 0.208
3 P 0.995 0.005 0.005
4 P 0.706 0.794 0.794

Summary:
The formation energy comes out at 1.45 eV/f.u. The density of states at the Fermi level comes out at 2.4 states/eV/cell. Its space group is Imm2, No. 44.

> Number 7 is which compound?

BiPd3

> What is the formula in the third record?

TiHg3C